{"formula": "TlGa2Sn2", "functional": "PBEsol", "state": "relaxed", "lattice": [[-1.2889, 1.4768, -2.6388], [-7.5415, 0.4034, 3.9093], [2.0801, 7.5869, 3.2299]], "species": ["Tl", "Tl", "Sn", "Sn", "Sn", "Sn", "Ga", "Ga", "Ga", "Ga"], "fractional_positions": [[0.0000, 0.0000, 0.0000], [0.0000, 0.5000, 0.5000], [0.0000, 0.3573, 0.8573], [0.0000, 0.8573, 0.6427], [0.0000, 0.6427, 0.1427], [0.0000, 0.1427, 0.3573], [0.5000, 0.1528, 0.6528], [0.5000, 0.6528, 0.8472], [0.5000, 0.8472, 0.3472], [0.5000, 0.3472, 0.1528]], "formation_energy_ev_per_atom": 0.05, "dft_energy_ev_per_cell": -35.12, "spacegroup": "P4/mbm", "m_tot_mub_per_atom": 0.0000}